1.
Li3Ga5I12 after structural relaxation. Source: Alexandria, functional GGA-PBE.

abc: 16.129 16.129 16.129
angles: 109.47 109.47 109.47
Atoms (fractional coordinates):
Li1 0.750 0.375 0.125
Li2 0.875 0.750 0.125
Li3 0.375 0.750 0.625
Li4 0.250 0.125 0.375
Li5 0.875 0.125 0.250
Li6 0.375 0.625 0.250
Li7 0.625 0.375 0.750
Li8 0.125 0.875 0.750
Li9 0.750 0.875 0.625
Li10 0.625 0.250 0.375
Li11 0.125 0.250 0.875
Li12 0.250 0.625 0.875
Ga1 0.125 0.375 0.250
Ga2 0.000 0.500 0.000
Ga3 0.000 0.000 0.000
Ga4 0.375 0.250 0.125
Ga5 0.500 0.000 0.500
Ga6 0.500 0.500 0.000
Ga7 0.125 0.750 0.375
Ga8 0.750 0.125 0.875
Ga9 0.750 0.625 0.375
Ga10 0.375 0.125 0.750
Ga11 0.625 0.875 0.250
Ga12 0.500 0.500 0.500
Ga13 0.500 0.000 0.000
Ga14 0.000 0.000 0.500
Ga15 0.250 0.375 0.625
Ga16 0.250 0.875 0.125
Ga17 0.000 0.500 0.500
Ga18 0.875 0.250 0.625
Ga19 0.625 0.750 0.875
Ga20 0.875 0.625 0.750
I1 0.717 0.129 0.032
I2 0.315 0.532 0.403
I3 0.968 0.371 0.283
I4 0.532 0.217 0.129
I5 0.588 0.717 0.685
I6 0.968 0.597 0.185
I7 0.315 0.783 0.412
I8 0.097 0.912 0.129
I9 0.597 0.968 0.685
I10 0.717 0.588 0.185
I11 0.783 0.468 0.371
I12 0.815 0.903 0.032
I13 0.129 0.717 0.532
I14 0.371 0.403 0.088
I15 0.088 0.903 0.371
I16 0.412 0.129 0.597
I17 0.088 0.185 0.217
I18 0.468 0.685 0.097
I19 0.815 0.912 0.283
I20 0.129 0.412 0.097
I21 0.371 0.968 0.783
I22 0.597 0.629 0.412
I23 0.903 0.815 0.532
I24 0.783 0.315 0.912
I25 0.403 0.371 0.588
I26 0.097 0.185 0.468
I27 0.217 0.685 0.088
I28 0.185 0.088 0.717
I29 0.629 0.032 0.217
I30 0.871 0.588 0.903
I31 0.532 0.315 0.903
I32 0.588 0.871 0.403
I33 0.912 0.815 0.783
I34 0.912 0.097 0.629
I35 0.871 0.283 0.468
I36 0.185 0.097 0.968
I37 0.629 0.597 0.912
I38 0.403 0.032 0.315
I39 0.283 0.412 0.815
I40 0.217 0.532 0.629
I41 0.903 0.088 0.871
I42 0.685 0.217 0.588
I43 0.468 0.783 0.871
I44 0.032 0.403 0.815
I45 0.412 0.283 0.315
I46 0.032 0.629 0.717
I47 0.685 0.468 0.597
I48 0.283 0.871 0.968

Computed properties:
As for the energy relative to the elements, uncorrected: -0.49 eV/atom. Its space-group type is No. 230. As for the total magnetic moment: 0.00 μB/f.u.

***

2.
Na3Tm2AlO6 after structural relaxation. Source: Alexandria, functional GGA-PBE.

abc: 5.587 5.587 5.812
angles: 99.06 99.06 120.12
Atoms (fractional coordinates):
Na1 0.157 0.843 0.500
Na2 0.843 0.157 0.500
Na3 0.500 0.500 0.500
Tm1 0.333 0.667 0.000
Tm2 0.667 0.333 0.000
Al1 0.000 0.000 0.000
O1 0.934 0.630 0.798
O2 0.763 0.763 0.197
O3 0.066 0.370 0.202
O4 0.630 0.934 0.798
O5 0.237 0.237 0.803
O6 0.370 0.066 0.202

Computed properties:
As for the energy relative to the elements, uncorrected: -2.68 eV/atom. Its space-group type is No. 12. As for the total magnetic moment: 0.00 μB/f.u.

***

3.
Tm7Cd4Sn after structural relaxation. Source: Alexandria, functional GGA-PBE.

abc: 5.677 8.849 7.780
angles: 66.92 68.60 71.29
Atoms (fractional coordinates):
Tm1 0.818 0.873 0.491
Tm2 0.182 0.127 0.509
Tm3 0.079 0.576 0.266
Tm4 0.921 0.424 0.734
Tm5 0.251 0.718 0.779
Tm6 0.500 0.000 0.000
Tm7 0.749 0.282 0.221
Cd1 0.535 0.314 0.615
Cd2 0.465 0.686 0.385
Cd3 0.684 0.653 0.978
Cd4 0.316 0.347 0.022
Sn1 0.000 0.000 0.000

Computed properties:
Its space-group type is No. 12. As for the total magnetic moment: 0.00 μB/f.u. The value obtained for the energy of formation is -1.6 eV per formula unit.

***

4.
Sr2CeHoAs4 after structural relaxation. Source: Alexandria, functional GGA-PBE.

abc: 4.301 7.414 7.556
angles: 109.29 90.00 90.00
Atoms (fractional coordinates):
Sr1 0.500 0.000 0.500
Sr2 0.000 0.500 0.500
Ce1 0.000 0.000 0.000
Ho1 0.500 0.500 0.000
As1 0.500 0.241 0.220
As2 0.500 0.759 0.780
As3 0.000 0.260 0.779
As4 0.000 0.740 0.221

Computed properties:
Its space-group type is No. 10. As for the total magnetic moment: 0.00 μB/f.u. The value obtained for the energy of formation is -9.9 eV per formula unit.

***

5.
Cr3GeRu after structural relaxation. Source: Alexandria, functional GGA-PBE.

abc: 4.645 4.645 4.645
angles: 90.00 90.00 90.00
Site moments in Bohr magnetons follow the coordinates.
Atoms (fractional coordinates):
Ru1 0.000 0.000 0.000  -0.61
Ge1 0.500 0.500 0.500  -0.19
Cr1 0.000 0.500 0.000  3.06
Cr2 0.000 0.000 0.500  2.76
Cr3 0.500 0.000 0.000  3.52

Computed properties:
Its space-group type is No. 221. The energy relative to the lowest polymorph listed for this composition is 0.0000 eV per atom. As for the total magnetic moment: 9.15 μB/f.u. The value obtained for the energy of formation is 6.1 eV per formula unit.

***

6.
HoPuCdAu after structural relaxation. Source: Alexandria, functional GGA-PBE.

abc: 5.213 5.213 5.213
angles: 60.00 60.00 60.00
Site moments in Bohr magnetons follow the coordinates.
Atoms (fractional coordinates):
Cd1 0.750 0.750 0.750  0.02
Au1 0.250 0.250 0.250  0.02
Ho1 0.500 0.500 0.500  0.13
Pu1 0.000 0.000 0.000  5.40

Computed properties:
Its space-group type is No. 216. As for the total magnetic moment: 5.87 μB/f.u. The value obtained for the energy of formation is -1.3 eV per formula unit.

***

7.
Na3Cd9Ga2 after structural relaxation. Source: Alexandria, functional GGA-PBE.

abc: 4.714 8.825 8.825
angles: 77.71 74.51 74.51
Atoms (fractional coordinates):
Na1 0.000 0.000 0.000
Na2 0.715 0.285 0.285
Na3 0.285 0.715 0.715
Cd1 0.000 0.500 0.500
Cd2 0.627 0.003 0.743
Cd3 0.373 0.997 0.257
Cd4 0.627 0.743 0.003
Cd5 0.373 0.257 0.997
Cd6 0.850 0.864 0.437
Cd7 0.150 0.136 0.563
Cd8 0.850 0.437 0.864
Cd9 0.150 0.563 0.136
Ga1 0.500 0.346 0.654
Ga2 0.500 0.654 0.346

Computed properties:
Its space-group type is No. 71. As for the total magnetic moment: 0.00 μB/f.u. The value obtained for the energy of formation is -0.7 eV per formula unit.

***

8.
MgHgAu14 after structural relaxation. Source: Alexandria, functional GGA-PBE.

abc: 6.149 6.149 7.726
angles: 90.00 90.00 90.00
Atoms (fractional coordinates):
Mg1 0.375 0.375 0.500
Hg1 0.875 0.875 0.500
Au1 0.875 0.875 0.000
Au2 0.375 0.375 0.000
Au3 0.875 0.375 0.500
Au4 0.875 0.375 0.000
Au5 0.375 0.875 0.500
Au6 0.375 0.875 0.000
Au7 0.620 0.130 0.250
Au8 0.620 0.130 0.750
Au9 0.130 0.620 0.250
Au10 0.130 0.620 0.750
Au11 0.620 0.620 0.250
Au12 0.620 0.620 0.750
Au13 0.130 0.130 0.250
Au14 0.130 0.130 0.750

Computed properties:
Its space-group type is No. 123. As for the total magnetic moment: 0.00 μB/f.u. The value obtained for the energy of formation is -1.4 eV per formula unit.

***

9.
PrMgScPd after structural relaxation. Source: Alexandria, functional GGA-PBE.

abc: 5.102 5.102 5.102
angles: 60.00 60.00 60.00
Atoms (fractional coordinates):
Pr1 0.500 0.500 0.500
Sc1 0.000 0.000 0.000
Mg1 0.250 0.250 0.250
Pd1 0.750 0.750 0.750

Computed properties:
Its space-group type is No. 216. As for the total magnetic moment: 0.00 μB/f.u. The value obtained for the energy of formation is -1.3 eV per formula unit.

***

10.
Ca2Ge2Au5 after structural relaxation. Source: Alexandria, functional GGA-PBE.

abc: 4.584 4.584 9.023
angles: 90.00 90.00 90.00
Atoms (fractional coordinates):
Ca1 0.000 0.000 0.000
Ca2 0.000 0.000 0.500
Ge1 0.500 0.500 0.140
Ge2 0.500 0.500 0.860
Au1 0.500 0.000 0.273
Au2 0.500 0.000 0.727
Au3 0.500 0.500 0.500
Au4 0.000 0.500 0.273
Au5 0.000 0.500 0.727

Computed properties:
Its space-group type is No. 123. As for the total magnetic moment: 0.00 μB/f.u. The value obtained for the energy of formation is -4.2 eV per formula unit.

***

11.
ReTeO2F after structural relaxation. Source: Alexandria, functional GGA-PBE.

abc: 4.236 4.236 4.631
angles: 90.00 90.00 90.00
Site moments in Bohr magnetons follow the coordinates.
Atoms (fractional coordinates):
Re1 0.500 0.500 0.500  4.43
Te1 0.000 0.000 0.000  -0.01
O1 0.000 0.500 0.000  0.12
O2 0.500 0.000 0.000  0.12
F1 0.000 0.000 0.500  0.08

Computed properties:
As for the energy relative to the elements, uncorrected: 0.40 eV/atom. Its space-group type is No. 123. As for the total magnetic moment: 5.79 μB/f.u.

***

12.
MgBeIn2Ga after structural relaxation. Source: Alexandria, functional GGA-PBE.

abc: 5.422 4.742 5.422
angles: 90.00 90.00 90.00
Atoms (fractional coordinates):
Be1 0.000 0.500 0.000
Mg1 0.000 0.000 0.000
Ga1 0.500 0.500 0.500
In1 0.000 0.000 0.500
In2 0.500 0.000 0.000

Computed properties:
Its space-group type is No. 123. As for the total magnetic moment: 0.00 μB/f.u. The value obtained for the energy of formation is 3.9 eV per formula unit.

***

13.
Ca2RhPbC after structural relaxation. Source: Alexandria, functional GGA-PBE.

abc: 5.238 5.238 3.912
angles: 90.00 90.00 90.00
Atoms (fractional coordinates):
Pb1 0.500 0.500 0.500
Ca1 0.000 0.500 0.000
Ca2 0.500 0.000 0.000
Rh1 0.000 0.000 0.500
C1 0.000 0.000 0.000

Computed properties:
Its space-group type is No. 123. As for the total magnetic moment: 0.00 μB/f.u. The value obtained for the energy of formation is -1.2 eV per formula unit.

***

14.
Pr3SmHo3 after structural relaxation. Source: Alexandria, functional GGA-PBE.

abc: 8.959 8.959 8.959
angles: 58.55 58.55 58.55
Atoms (fractional coordinates):
Pr1 0.717 0.565 0.072
Pr2 0.072 0.717 0.565
Pr3 0.565 0.072 0.717
Pr4 0.435 0.928 0.283
Pr5 0.928 0.283 0.435
Pr6 0.283 0.435 0.928
Sm1 0.344 0.344 0.344
Sm2 0.656 0.656 0.656
Ho1 0.716 0.174 0.937
Ho2 0.174 0.937 0.716
Ho3 0.937 0.716 0.174
Ho4 0.063 0.284 0.826
Ho5 0.826 0.063 0.284
Ho6 0.284 0.826 0.063

Computed properties:
Its space-group type is No. 148. The energy relative to the lowest polymorph listed for this composition is 0.1650 eV per atom. As for the total magnetic moment: 0.00 μB/f.u. The value obtained for the energy of formation is 1.4 eV per formula unit.

***

15.
Pm8Tm3Sc after structural relaxation. Source: Alexandria, functional GGA-PBE.

abc: 8.419 8.419 8.419
angles: 93.00 118.28 118.28
Atoms (fractional coordinates):
Pm1 0.476 0.214 0.214
Pm2 0.524 0.739 0.739
Pm3 0.000 0.786 0.261
Pm4 0.000 0.261 0.786
Pm5 0.255 0.369 0.369
Pm6 0.745 0.113 0.113
Pm7 0.000 0.631 0.887
Pm8 0.000 0.887 0.631
Tm1 0.500 0.750 0.250
Tm2 0.500 0.250 0.750
Tm3 0.000 0.500 0.500
Sc1 0.000 0.000 0.000

Computed properties:
Its space-group type is No. 121. As for the total magnetic moment: 0.00 μB/f.u. The value obtained for the energy of formation is 6.9 eV per formula unit.

***

16.
Ce3RhI3 after structural relaxation. Source: Alexandria, functional GGA-PBE.

abc: 4.214 9.273 12.411
angles: 92.35 90.00 90.00
Site moments in Bohr magnetons follow the coordinates.
Atoms (fractional coordinates):
Ce1 0.250 0.318 0.619  1.01
Ce2 0.750 0.682 0.381  1.01
Ce3 0.250 0.906 0.609  0.96
Ce4 0.750 0.094 0.391  0.96
Ce5 0.250 0.887 0.156  1.16
Ce6 0.750 0.113 0.844  1.16
Rh1 0.250 0.885 0.380  -0.09
Rh2 0.750 0.115 0.620  -0.09
I1 0.250 0.391 0.362  -0.01
I2 0.750 0.609 0.638  -0.01
I3 0.250 0.853 0.882  -0.01
I4 0.750 0.147 0.118  -0.01
I5 0.250 0.375 0.878  -0.01
I6 0.750 0.625 0.122  -0.01

Computed properties:
As for the energy relative to the elements, uncorrected: -1.02 eV/atom. Its space-group type is No. 11. As for the total magnetic moment: 3.95 μB/f.u.

***

17.
La2TeCl after structural relaxation. Source: Alexandria, functional GGA-PBE.

abc: 3.856 5.391 5.391
angles: 90.00 90.00 90.00
Atoms (fractional coordinates):
Cl1 0.500 0.500 0.500
Te1 0.500 0.000 0.000
La1 0.000 0.000 0.500
La2 0.000 0.500 0.000

Computed properties:
As for the energy relative to the elements, uncorrected: -1.39 eV/atom. Its space-group type is No. 123. The energy relative to the lowest polymorph listed for this composition is 0.1579 eV per atom. As for the total magnetic moment: 0.00 μB/f.u.

***

18.
AgSn3Br after structural relaxation. Source: Alexandria, functional GGA-PBE.

abc: 5.566 5.566 5.566
angles: 90.00 90.00 90.00
Atoms (fractional coordinates):
Br1 0.000 0.000 0.000
Sn1 0.000 0.500 0.000
Sn2 0.000 0.000 0.500
Sn3 0.500 0.000 0.000
Ag1 0.500 0.500 0.500

Computed properties:
As for the energy relative to the elements, uncorrected: 0.73 eV/atom. Its space-group type is No. 221. The energy relative to the lowest polymorph listed for this composition is 0.4238 eV per atom. As for the total magnetic moment: 0.00 μB/f.u.

***

19.
ZnTc2Cl after structural relaxation. Source: Alexandria, functional GGA-PBE.

abc: 2.967 2.999 7.683
angles: 89.89 90.00 90.00
Atoms (fractional coordinates):
Cl1 0.500 0.751 0.779
Tc1 0.000 0.751 0.038
Tc2 0.500 0.250 0.230
Zn1 0.000 0.749 0.453

Computed properties:
As for the energy relative to the elements, uncorrected: -0.04 eV/atom. Its space-group type is No. 6. The energy relative to the lowest polymorph listed for this composition is 0.0000 eV per atom. As for the total magnetic moment: 0.00 μB/f.u.

***

20.
RbHfIr3 after structural relaxation. Source: Alexandria, functional GGA-PBE.

abc: 4.755 4.755 4.755
angles: 90.00 90.00 90.00
Atoms (fractional coordinates):
Ir1 0.000 0.500 0.000
Ir2 0.000 0.000 0.500
Ir3 0.500 0.000 0.000
Hf1 0.500 0.500 0.500
Rb1 0.000 0.000 0.000

Computed properties:
Its space-group type is No. 221. The energy relative to the lowest polymorph listed for this composition is 1.4498 eV per atom. As for the total magnetic moment: 0.00 μB/f.u. The value obtained for the energy of formation is 13.3 eV per formula unit.